(1)
! Np2Ni3P4Ru PBE-GGA relaxed; values from VASP
! Formation enthalpy at 0 K in kJ/mol of atoms: -67.9
! Space group: P-4m2
! Crystal system: tetragonal
! VASP energy in eV/atom: -8.118
&SYSTEM
  ibrav = 0, nat = 10, ntyp = 4
/
ATOMIC_SPECIES
Np 237.00 Np.upf
Ni 58.69 Ni.upf
P 30.97 P.upf
Ru 101.07 Ru.upf
CELL_PARAMETERS angstrom
4.002 0.000 0.000
0.000 4.002 0.000
0.000 0.000 9.187
ATOMIC_POSITIONS angstrom
Np 0.000 2.001 2.194
Np 2.001 0.000 6.993
Ni 0.000 2.001 8.151
Ni 2.001 0.000 1.036
Ni 2.001 2.001 4.594
P 0.000 0.000 0.000
P 0.000 2.001 5.902
P 2.001 0.000 3.285
P 2.001 2.001 0.000
Ru 0.000 0.000 4.594

(2)
! Zr4ZnAu PBE-GGA relaxed; values from VASP
! Formation enthalpy at 0 K in kJ/mol of atoms: 35.9
! Space group: Cmmm
! Crystal system: orthorhombic
! Energy relative to the lowest polymorph listed for this composition in eV per atom: 0.110
! VASP energy in eV/atom: -6.086
&SYSTEM
  ibrav = 0, nat = 12, ntyp = 3
/
ATOMIC_SPECIES
Zr 91.22 Zr.upf
Zn 65.41 Zn.upf
Au 196.97 Au.upf
CELL_PARAMETERS angstrom
9.930 0.000 0.000
0.000 10.079 0.000
0.000 0.000 2.981
ATOMIC_POSITIONS angstrom
Zr 0.000 2.402 0.000
Zr 0.000 7.677 0.000
Zr 2.221 5.040 1.490
Zr 2.744 0.000 1.490
Zr 4.965 2.637 0.000
Zr 4.965 7.442 0.000
Zr 7.186 0.000 1.490
Zr 7.709 5.040 1.490
Zn 0.000 5.040 0.000
Zn 4.965 0.000 0.000
Au 0.000 0.000 1.490
Au 4.965 5.040 1.490

(3)
! YZn6Pd2 PBE-GGA relaxed; values from VASP
! Formation enthalpy at 0 K in kJ/mol of atoms: -29.4
! Space group: Immm
! Crystal system: orthorhombic
! VASP energy in eV/atom: -3.027
&SYSTEM
  ibrav = 0, nat = 9, ntyp = 3
/
ATOMIC_SPECIES
Y 88.91 Y.upf
Zn 65.41 Zn.upf
Pd 106.42 Pd.upf
CELL_PARAMETERS angstrom
-1.843 3.406 6.194
1.843 -3.406 6.194
1.843 3.406 -6.194
ATOMIC_POSITIONS angstrom
Y 0.000 0.000 0.000
Zn 1.843 1.314 -2.302
Zn 1.843 2.218 0.000
Zn 1.843 1.314 2.302
Zn 0.000 2.092 3.892
Zn 0.000 1.188 6.194
Zn 0.000 2.092 8.496
Pd 1.843 0.000 4.631
Pd 0.000 3.406 1.563

(4)
! ScAlP PBE-GGA relaxed; values from VASP
! Formation enthalpy at 0 K in kJ/mol of atoms: -49.3
! Space group: Fmm2
! Crystal system: orthorhombic
! VASP energy in eV/atom: -5.672
&SYSTEM
  ibrav = 0, nat = 12, ntyp = 3
/
ATOMIC_SPECIES
Sc 44.96 Sc.upf
Al 26.98 Al.upf
P 30.97 P.upf
CELL_PARAMETERS angstrom
4.303 0.000 0.000
0.000 5.030 0.000
0.000 0.000 9.623
ATOMIC_POSITIONS angstrom
Sc 0.000 0.000 0.000
Sc 0.000 2.515 4.812
Sc 2.152 0.000 4.812
Sc 2.152 2.515 0.000
Al 0.000 0.000 2.861
Al 0.000 2.515 7.673
Al 2.152 0.000 7.673
Al 2.152 2.515 2.861
P 0.000 0.000 6.438
P 0.000 2.515 1.626
P 2.152 0.000 1.626
P 2.152 2.515 6.438

(5)
! Nd3Y5Er PBE-GGA relaxed; values from VASP
! Formation enthalpy at 0 K in kJ/mol of atoms: 24.3
! Space group: I4/mcm
! Crystal system: tetragonal
! VASP energy in eV/atom: -5.436
&SYSTEM
  ibrav = 0, nat = 18, ntyp = 3
/
ATOMIC_SPECIES
Nd 144.24 Nd.upf
Y 88.91 Y.upf
Er 167.26 Er.upf
CELL_PARAMETERS angstrom
-4.387 4.387 7.787
4.387 -4.387 7.787
4.387 4.387 -7.787
ATOMIC_POSITIONS angstrom
Nd 5.410 1.023 0.000
Nd 0.000 0.000 3.893
Nd 1.023 3.363 0.000
Nd 3.363 1.023 7.787
Nd 0.000 0.000 11.680
Nd -1.023 3.363 7.787
Y 0.000 0.000 0.000
Y 2.548 1.839 -2.142
Y 2.548 -1.839 5.644
Y 2.548 1.839 2.142
Y 2.548 -1.839 9.929
Y 0.000 0.000 7.787
Y 1.839 6.226 -2.142
Y 1.839 2.548 5.644
Y 1.839 6.226 2.142
Y 1.839 2.548 9.929
Er 4.387 0.000 3.893
Er 0.000 4.387 3.893

(6)
! TlSbPtBr2 PBE-GGA relaxed; values from VASP
! Uncorrected formation energy in meV per atom: 884
! Space group: P4/mmm
! Crystal system: tetragonal
! VASP energy in eV/atom: -2.291
&SYSTEM
  ibrav = 0, nat = 5, ntyp = 4
/
ATOMIC_SPECIES
Tl 204.38 Tl.upf
Sb 121.76 Sb.upf
Pt 195.08 Pt.upf
Br 79.90 Br.upf
CELL_PARAMETERS angstrom
5.347 0.000 0.000
0.000 5.347 0.000
0.000 0.000 6.141
ATOMIC_POSITIONS angstrom
Tl 0.000 0.000 0.000
Sb 0.000 0.000 3.070
Pt 2.674 2.674 3.070
Br 0.000 2.674 0.000
Br 2.674 0.000 0.000

(7)
! Be2TcP PBE-GGA relaxed; values from VASP
! Formation enthalpy at 0 K in kJ/mol of atoms: -26.5
! Space group: P4mm
! Crystal system: tetragonal
! VASP energy in eV/atom: -6.082
&SYSTEM
  ibrav = 0, nat = 4, ntyp = 3
/
ATOMIC_SPECIES
Be 9.01 Be.upf
Tc 98.00 Tc.upf
P 30.97 P.upf
CELL_PARAMETERS angstrom
3.017 0.000 0.000
0.000 3.017 0.000
0.000 0.000 4.790
ATOMIC_POSITIONS angstrom
Be 0.000 0.000 0.000
Be 1.509 1.509 0.988
Tc 1.509 1.509 3.390
P 0.000 0.000 2.215

(8)
! PaBN3 PBE-GGA relaxed; values from VASP
! Uncorrected formation energy in meV per atom: -710
! Space group: Cmcm
! Crystal system: orthorhombic
! VASP energy in eV/atom: -8.940
&SYSTEM
  ibrav = 0, nat = 10, ntyp = 3
/
ATOMIC_SPECIES
Pa 231.04 Pa.upf
B 10.81 B.upf
N 14.01 N.upf
CELL_PARAMETERS angstrom
1.797 -6.019 0.000
1.797 6.019 0.000
0.000 0.000 5.270
ATOMIC_POSITIONS angstrom
Pa 1.797 4.118 3.952
Pa 1.797 -4.118 1.317
B 1.797 1.214 3.952
B 1.797 -1.214 1.317
N 1.797 5.655 1.317
N 1.797 1.936 2.700
N 1.797 1.936 5.204
N 1.797 -1.936 0.065
N 1.797 -1.936 2.570
N 1.797 -5.655 3.952

(9)
! BeTlP2 PBE-GGA relaxed; values from VASP
! Formation enthalpy at 0 K in kJ/mol of atoms: 52.0
! Space group: Imm2
! Crystal system: orthorhombic
! Energy relative to the lowest polymorph listed for this composition in eV per atom: 0.477
! VASP energy in eV/atom: -3.689
&SYSTEM
  ibrav = 0, nat = 8, ntyp = 3
/
ATOMIC_SPECIES
Be 9.01 Be.upf
Tl 204.38 Tl.upf
P 30.97 P.upf
CELL_PARAMETERS angstrom
3.295 0.000 0.000
0.000 6.002 0.000
0.000 0.000 7.883
ATOMIC_POSITIONS angstrom
Be 0.000 0.000 0.000
Be 1.648 3.001 3.941
Tl 0.000 3.001 1.684
Tl 1.648 0.000 5.625
P 0.000 0.000 2.987
P 0.000 3.001 5.354
P 1.648 0.000 1.412
P 1.648 3.001 6.929

(10)
! ZrNp2 PBE-GGA relaxed; values from VASP
! Formation enthalpy at 0 K in kJ/mol of atoms: 32.9
! Space group: Fd-3m
! Crystal system: cubic
! VASP energy in eV/atom: -11.136
&SYSTEM
  ibrav = 0, nat = 6, ntyp = 2
/
ATOMIC_SPECIES
Zr 91.22 Zr.upf
Np 237.00 Np.upf
CELL_PARAMETERS angstrom
0.000 3.930 3.930
3.930 0.000 3.930
3.930 3.930 0.000
ATOMIC_POSITIONS angstrom
Zr 0.982 0.982 0.982
Zr 6.877 6.877 6.877
Np 3.930 1.965 1.965
Np 1.965 3.930 1.965
Np 1.965 1.965 3.930
Np 3.930 3.930 3.930

(11)
! Sr2CaMg PBE-GGA relaxed; values from VASP
! Formation enthalpy at 0 K in kJ/mol of atoms: 2.3
! Space group: P4/mmm
! Crystal system: tetragonal
! VASP energy in eV/atom: -1.716
&SYSTEM
  ibrav = 0, nat = 4, ntyp = 3
/
ATOMIC_SPECIES
Sr 87.62 Sr.upf
Ca 40.08 Ca.upf
Mg 24.30 Mg.upf
CELL_PARAMETERS angstrom
5.916 0.000 0.000
0.000 5.916 0.000
0.000 0.000 4.803
ATOMIC_POSITIONS angstrom
Sr 0.000 2.958 0.000
Sr 2.958 0.000 0.000
Ca 0.000 0.000 2.401
Mg 2.958 2.958 2.401

(12)
! AlAsP2 PBE-GGA relaxed; values from VASP
! Formation enthalpy at 0 K in kJ/mol of atoms: 31.8
! Space group: P4/mmm
! Crystal system: tetragonal
! Energy relative to the lowest polymorph listed for this composition in eV per atom: 0.411
! VASP energy in eV/atom: -4.473
&SYSTEM
  ibrav = 0, nat = 4, ntyp = 3
/
ATOMIC_SPECIES
Al 26.98 Al.upf
As 74.92 As.upf
P 30.97 P.upf
CELL_PARAMETERS angstrom
3.281 0.000 0.000
0.000 3.281 0.000
0.000 0.000 5.962
ATOMIC_POSITIONS angstrom
Al 0.000 0.000 0.000
As 0.000 0.000 2.981
P 1.640 1.640 1.240
P 1.640 1.640 4.722

Q: Among the records above, which one has the lowest VASP energy?
A: ZrNp2

Q: Which value of VASP energy does entry 6 give?
A: -2.291 eV/atom